{"formula": "Ba2NiMo", "functional": "GGA-PBE", "state": "relaxed", "lattice": [[3.5134, 0.0000, 0.0000], [0.0000, 3.5058, 0.0000], [0.0000, 0.0000, 9.6417]], "species": ["Ba", "Mo", "Ba", "Ni"], "frac_coords": [[0.0000, 0.0000, 0.9108], [0.0000, 0.0000, 0.5972], [0.5000, 0.5000, 0.3295], [0.5000, 0.5000, 0.6625]], "delta_e_f_mev_per_atom": 618, "e_tot_ev_per_atom": -4.496, "magnetic_moment_mub_per_atom": 0.372}